First-principles (PBE) data for crystalline SrRu2Cl at its relaxed geometry, as listed in Alexandria.

a = 3.3383 Å, b = 3.3383 Å, c = 8.2467 Å
α = 90.00°, β = 90.00°, γ = 90.00°
Closest atoms and distances in Å follow each position.
Fractional positions:
Ru1 0.0000 0.0000 0.0972  4 Ru 2.52
Ru2 0.5000 0.5000 0.2056  4 Ru 2.52
Cl1 0.5000 0.5000 0.7008  4 Sr 2.90
Sr1 0.0000 0.0000 0.4964  4 Cl 2.90

magnetization = 0.000 μB/atom
space group = P4mm (99)
energy above the most stable polymorph in this dataset = 14 meV per atom



First-principles (PBE) data for crystalline Be2AuCl at its relaxed geometry, as listed in Alexandria.

a = 5.6455 Å, b = 5.6455 Å, c = 5.6333 Å
α = 59.93°, β = 59.93°, γ = 90.00°
Closest atoms and distances in Å follow each position.
Fractional positions:
Cl1 0.2500 0.7500 0.5000  4 Be 2.18
Be1 0.6121 0.1250 0.2500  2 Cl 2.18, 2 Au 2.28
Be2 0.3750 0.3879 0.7500  2 Cl 2.18, 2 Au 2.28
Be3 0.1379 0.6250 0.2500  2 Cl 2.18, 2 Au 2.28
Au1 0.7500 0.2500 0.5000  4 Be 2.28
Cl2 0.5000 0.5000 0.0000  4 Be 2.18
Au2 0.0000 0.0000 0.0000  4 Be 2.28
Be4 0.8750 0.8621 0.7500  2 Cl 2.18, 2 Au 2.28

magnetization = 0.000 μB/atom
space group = I-42d (122)
energy above the most stable polymorph in this dataset = 235 meV per atom



First-principles (PBE) data for crystalline Pa2Si3Ir5 at its relaxed geometry, as listed in Alexandria.

a = 5.6719 Å, b = 8.4765 Å, c = 8.4765 Å
α = 67.57°, β = 70.45°, γ = 70.45°
Closest atoms and distances in Å follow each position.
Fractional positions:
Pa1 0.8647 0.3682 0.9024  10 Ir 3.05-3.40, 5 Si 3.09-3.32
Ir1 0.1265 0.9873 0.7598  3 Si 2.31-2.41
Ir2 0.2500 0.5000 0.5000  4 Si 2.38
Si1 0.8946 0.7482 0.4625  5 Ir 2.31-2.43
Ir3 0.3735 0.2402 0.0127  3 Si 2.31-2.41
Pa2 0.1353 0.6318 0.0976  10 Ir 3.05-3.40, 5 Si 3.09-3.32
Ir4 0.0322 0.7178 0.7178  2 Si 2.43, 2 Ir 2.68
Ir5 0.5322 0.7178 0.7178  2 Si 2.43, 2 Ir 2.68
Ir6 0.9678 0.2822 0.2822  2 Si 2.43, 2 Ir 2.68
Pa3 0.6353 0.0976 0.6318  10 Ir 3.05-3.40, 5 Si 3.09-3.32
Ir7 0.6265 0.7598 0.9873  3 Si 2.31-2.41
Si2 0.3946 0.4625 0.7482  5 Ir 2.31-2.43
Ir8 0.8735 0.0127 0.2402  3 Si 2.31-2.41
Ir9 0.4678 0.2822 0.2822  2 Si 2.43, 2 Ir 2.68
Pa4 0.3647 0.9024 0.3682  10 Ir 3.05-3.40, 5 Si 3.09-3.32
Si3 0.1054 0.2518 0.5375  5 Ir 2.31-2.43
Si4 0.6054 0.5375 0.2518  5 Ir 2.31-2.43
Ir10 0.7500 0.5000 0.5000  4 Si 2.38
Si5 0.7500 0.0000 0.0000  4 Ir 2.41
Si6 0.2500 0.0000 0.0000  4 Ir 2.41

magnetization = 0.000 μB/atom
space group = Ibam (72)



Computed ΔE_f (raw), in the same sequence as the records: -93, 39, -892 meV per atom.
Computed Fermi-level density of states, in the same sequence as the records: 3.4, 0.0, 7.8 states/eV/f.u..